SnAsPbO2 | PBE | optimized geometry

```
5
Lattice="-0.259 3.430 -2.251 -4.981 -4.345 -6.046 -3.407 1.077 2.033" Properties=species:S:1:pos:R:3 pbc="T T T"
Pb 0.000 0.000 0.000
As -4.324 0.081 -3.132
Sn -2.491 -2.172 -3.023
O -1.703 0.538 1.017
O -0.130 1.715 -1.126
```

Properties
E_form (uncorrected) = 0.131 eV per atom
Volume = 30.27 Å³/atom
Total energy = -4.32 eV/atom
Symmetry = P4/mmm (123)
Magnetic moment = 0.00 μB/f.u.